Entry 1:
Density functional theory data (PBE) for UNbTe4 after structural relaxation.

```
data_UNbTe4
_symmetry_space_group_name_H-M 'C 1 2/c 1'
_symmetry_Int_Tables_number 15
_symmetry_space_group_name_Hall '-C 2yc'
_cell_length_a 9.418
_cell_length_b 10.862
_cell_length_c 6.438
_cell_angle_alpha 90.00
_cell_angle_beta 92.56
_cell_angle_gamma 90.00
loop_
_atom_site_label
_atom_site_type_symbol
_atom_site_fract_x
_atom_site_fract_y
_atom_site_fract_z
U1 U 0.000 0.012 0.250
Nb1 Nb 0.000 0.447 0.750
Te1 Te 0.090 0.232 0.982
Te2 Te 0.219 0.420 0.464
```

* calculated total energy: -35.85 eV/f.u.

***

Entry 2:
Density functional theory data (PBE) for Hf2MoCl after structural relaxation.

```
data_Hf2MoCl
_symmetry_space_group_name_H-M 'I -4 2 d'
_symmetry_Int_Tables_number 122
_symmetry_space_group_name_Hall 'I -4 2bw'
_cell_length_a 5.343
_cell_length_b 5.343
_cell_length_c 14.150
_cell_angle_alpha 90.00
_cell_angle_beta 90.00
_cell_angle_gamma 90.00
loop_
_atom_site_label
_atom_site_type_symbol
_atom_site_fract_x
_atom_site_fract_y
_atom_site_fract_z
Hf1 Hf 0.222 0.250 0.125
Mo1 Mo 0.000 0.000 0.000
Cl1 Cl 0.000 0.000 0.500
```

* distance to the lowest polymorph of the same formula: 1.837 eV/f.u.

***

Entry 3:
Density functional theory data (PBE) for Nb2PS after structural relaxation.

```
data_Nb2PS
_symmetry_space_group_name_H-M 'I -4 2 d'
_symmetry_Int_Tables_number 122
_symmetry_space_group_name_Hall 'I -4 2bw'
_cell_length_a 5.578
_cell_length_b 5.578
_cell_length_c 11.027
_cell_angle_alpha 90.00
_cell_angle_beta 90.00
_cell_angle_gamma 90.00
loop_
_atom_site_label
_atom_site_type_symbol
_atom_site_fract_x
_atom_site_fract_y
_atom_site_fract_z
Nb1 Nb 0.247 0.250 0.125
P1 P 0.000 0.000 0.500
S1 S 0.000 0.000 0.000
```

* distance to the lowest polymorph of the same formula: 2.303 eV/f.u.

***

Entry 4:
Density functional theory data (PBE) for LaHf2Sc after structural relaxation.

```
data_LaHf2Sc
_symmetry_space_group_name_H-M 'I -4 2 d'
_symmetry_Int_Tables_number 122
_symmetry_space_group_name_Hall 'I -4 2bw'
_cell_length_a 8.218
_cell_length_b 8.218
_cell_length_c 6.209
_cell_angle_alpha 90.00
_cell_angle_beta 90.00
_cell_angle_gamma 90.00
loop_
_atom_site_label
_atom_site_type_symbol
_atom_site_fract_x
_atom_site_fract_y
_atom_site_fract_z
La1 La 0.000 0.000 0.000
Hf1 Hf 0.236 0.250 0.625
Sc1 Sc 0.000 0.000 0.500
```

* distance to the lowest polymorph of the same formula: 1.698 eV/f.u.
* formation energy: 687 meV per atom

***

Entry 5:
Density functional theory data (PBE) for Na2YMgPb2 after structural relaxation.

```
data_Na2YMgPb2
_symmetry_space_group_name_H-M 'P m c 21'
_symmetry_Int_Tables_number 26
_symmetry_space_group_name_Hall 'P 2c -2'
_cell_length_a 4.944
_cell_length_b 9.326
_cell_length_c 7.414
_cell_angle_alpha 90.00
_cell_angle_beta 90.00
_cell_angle_gamma 90.00
loop_
_atom_site_label
_atom_site_type_symbol
_atom_site_fract_x
_atom_site_fract_y
_atom_site_fract_z
Na1 Na 0.000 0.060 0.000
Na2 Na 0.500 0.164 0.291
Y1 Y 0.500 0.470 0.960
Mg1 Mg 0.000 0.312 0.634
Pb1 Pb 0.000 0.379 0.229
Pb2 Pb 0.500 0.174 0.735
```

* formation energy: -273 meV per atom

***

Entry 6:
Density functional theory data (PBE) for CoAuBr2 after structural relaxation.

```
data_CoAuBr2
_symmetry_space_group_name_H-M 'C m m 2'
_symmetry_Int_Tables_number 35
_symmetry_space_group_name_Hall 'C 2 -2'
_cell_length_a 3.732
_cell_length_b 6.527
_cell_length_c 8.393
_cell_angle_alpha 90.00
_cell_angle_beta 90.00
_cell_angle_gamma 90.00
loop_
_atom_site_label
_atom_site_type_symbol
_atom_site_fract_x
_atom_site_fract_y
_atom_site_fract_z
Co1 Co 0.000 0.000 0.000
Au1 Au 0.000 0.500 0.207
Br1 Br 0.000 0.000 0.422
Br2 Br 0.000 0.500 0.832
```

* distance to the lowest polymorph of the same formula: 0.648 eV/f.u.

***

Entry 7:
Density functional theory data (PBE) for CePm2Tm after structural relaxation.

```
data_CePm2Tm
_symmetry_space_group_name_H-M 'F m -3 m'
_symmetry_Int_Tables_number 225
_symmetry_space_group_name_Hall '-F 4 2 3'
_cell_length_a 8.086
_cell_length_b 8.086
_cell_length_c 8.086
_cell_angle_alpha 90.00
_cell_angle_beta 90.00
_cell_angle_gamma 90.00
loop_
_atom_site_label
_atom_site_type_symbol
_atom_site_fract_x
_atom_site_fract_y
_atom_site_fract_z
Ce1 Ce 0.000 0.000 0.000
Pm1 Pm 0.250 0.250 0.250
Tm1 Tm 0.000 0.000 0.500
```

* distance to the lowest polymorph of the same formula: 0.518 eV/f.u.
* formation energy: 195 meV per atom

***

Entry 8:
Density functional theory data (PBE) for Y2Al after structural relaxation.

```
data_Y2Al
_symmetry_space_group_name_H-M 'C 1 2/m 1'
_symmetry_Int_Tables_number 12
_symmetry_space_group_name_Hall '-C 2y'
_cell_length_a 13.889
_cell_length_b 3.471
_cell_length_c 6.914
_cell_angle_alpha 90.00
_cell_angle_beta 104.39
_cell_angle_gamma 90.00
loop_
_atom_site_label
_atom_site_type_symbol
_atom_site_fract_x
_atom_site_fract_y
_atom_site_fract_z
Y1 Y 0.139 0.000 0.067
Y2 Y 0.154 0.000 0.583
Al1 Al 0.002 0.500 0.276
```

* formation energy: -274 meV per atom

***

Entry 9:
Density functional theory data (PBE) for BaSr2LiCl after structural relaxation.

```
data_BaSr2LiCl
_symmetry_space_group_name_H-M 'P 4/m m m'
_symmetry_Int_Tables_number 123
_symmetry_space_group_name_Hall '-P 4 2'
_cell_length_a 5.901
_cell_length_b 5.901
_cell_length_c 6.439
_cell_angle_alpha 90.00
_cell_angle_beta 90.00
_cell_angle_gamma 90.00
loop_
_atom_site_label
_atom_site_type_symbol
_atom_site_fract_x
_atom_site_fract_y
_atom_site_fract_z
Ba1 Ba 0.000 0.000 0.000
Sr1 Sr 0.000 0.500 0.500
Li1 Li 0.500 0.500 0.000
Cl1 Cl 0.000 0.000 0.500
```

* calculated total energy: -11.66 eV/f.u.

***

Entry 10:
Density functional theory data (PBE) for Sr2SnP2 after structural relaxation.

```
data_Sr2SnP2
_symmetry_space_group_name_H-M 'I 4/m m m'
_symmetry_Int_Tables_number 139
_symmetry_space_group_name_Hall '-I 4 2'
_cell_length_a 3.716
_cell_length_b 3.716
_cell_length_c 19.232
_cell_angle_alpha 90.00
_cell_angle_beta 90.00
_cell_angle_gamma 90.00
loop_
_atom_site_label
_atom_site_type_symbol
_atom_site_fract_x
_atom_site_fract_y
_atom_site_fract_z
Sr1 Sr 0.000 0.000 0.122
Sn1 Sn 0.000 0.000 0.500
P1 P 0.000 0.500 0.250
```

* distance to the lowest polymorph of the same formula: 0.889 eV/f.u.
* formation energy: -528 meV per atom

***

Entry 11:
Density functional theory data (PBE) for Cs3SrU2S9 after structural relaxation.

```
data_Cs3SrU2S9
_symmetry_space_group_name_H-M 'P -3 m 1'
_symmetry_Int_Tables_number 164
_symmetry_space_group_name_Hall '-P 3 2"'
_cell_length_a 7.5822
_cell_length_b 7.5822
_cell_length_c 9.4105
_cell_angle_alpha 90.00
_cell_angle_beta 90.00
_cell_angle_gamma 120.00
loop_
_atom_site_label
_atom_site_type_symbol
_atom_site_fract_x
_atom_site_fract_y
_atom_site_fract_z
Cs1 Cs 0.0000 0.0000 0.0000
Cs2 Cs 0.3333 0.6667 0.6602
Sr1 Sr 0.0000 0.0000 0.5000
U1 U 0.3333 0.6667 0.1578
S1 S 0.0000 0.5000 0.0000
S2 S 0.1786 0.3571 0.3095
```

* calculated total energy: -83.56 eV/f.u.

***

Entry 12:
Density functional theory data (PBE) for Li2Mg5Cd12 after structural relaxation.

```
data_Li2Mg5Cd12
_symmetry_space_group_name_H-M 'C 1 2/m 1'
_symmetry_Int_Tables_number 12
_symmetry_space_group_name_Hall '-C 2y'
_cell_length_a 13.220
_cell_length_b 8.575
_cell_length_c 7.321
_cell_angle_alpha 90.00
_cell_angle_beta 91.54
_cell_angle_gamma 90.00
loop_
_atom_site_label
_atom_site_type_symbol
_atom_site_fract_x
_atom_site_fract_y
_atom_site_fract_z
Li1 Li 0.000 0.196 0.000
Mg1 Mg 0.000 0.500 0.500
Mg2 Mg 0.193 0.000 0.983
Mg3 Mg 0.236 0.500 0.571
Cd1 Cd 0.055 0.000 0.304
Cd2 Cd 0.091 0.500 0.889
Cd3 Cd 0.121 0.208 0.658
Cd4 Cd 0.151 0.315 0.245
```

* formation energy: -74 meV per atom

***

In order of appearance, size of the total moment = 2.56, 0.00, 0.00, 0.00, 0.00, 1.77, 3.26, 0.00, 0.00, 0.00, 0.00, 0.00 μB per formula unit.